Run 1
VASP calculation (PBE-GGA) on a relaxed TlZn2Cd crystal.

extended XYZ file:
```
4
Lattice="-0.3934 -2.6556 6.6296 -1.6727 -2.7158 -4.2287 1.9960 -2.3717 0.8019" Properties=species:S:1:pos:R:3 pbc="T T T"
Zn 0.0000 0.0000 0.0000
Zn 0.8013 -2.5137 3.7158
Cd 0.1617 -2.5438 -1.7134
Tl -1.0330 -2.6857 1.2004
```

## Properties
calculated volume = 85.9 Å³/cell
Fermi-level density of states = 1.59 states/eV per cell
SG = C2/m (12)

---

Run 2
VASP calculation (PBE-GGA) on a relaxed TlZn2Cd crystal.

extended XYZ file:
```
4
Lattice="-2.8076 1.1447 3.0053 -2.8449 -0.6608 -2.4060 -1.7916 -5.4599 0.4060" Properties=species:S:1:pos:R:3 pbc="T T T"
Zn -2.0347 -0.9457 1.4915
Zn -2.3108 -5.5326 -0.0514
Cd -2.1055 -2.6671 -0.9510
Tl -5.1029 -4.3510 -0.0777
```

## Properties
calculated volume = 87.0 Å³/cell
Fermi-level density of states = 1.00 states/eV per cell
SG = Pm (6)

---

Run 3
VASP calculation (PBE-GGA) on a relaxed TlZn2Cd crystal.

extended XYZ file:
```
8
Lattice="-6.7089 -0.6116 3.9851 -2.9759 -4.4685 -5.6957 -3.7824 -5.0329 0.5466" Properties=species:S:1:pos:R:3 pbc="T T T"
Zn -3.7274 -4.1351 -2.8756
Zn -6.5056 -5.7351 -0.3022
Zn -11.2741 -8.1643 -1.0162
Zn -5.4275 -2.1914 1.8659
Tl 0.0000 0.0000 0.0000
Tl -7.6669 -4.0923 1.8382
Cd -5.8004 -6.0207 -3.0022
Cd -4.8424 -2.5401 -0.8553
```

## Properties
calculated volume = 186.9 Å³/cell
Fermi-level density of states = 2.97 states/eV per cell
SG = I-42d (122)

---

Run 4
VASP calculation (PBE-GGA) on a relaxed TlZn2Cd crystal.

extended XYZ file:
```
4
Lattice="-4.4914 0.8290 -1.5378 -3.0001 -1.1992 -3.5757 -3.3085 -4.7844 2.3407" Properties=species:S:1:pos:R:3 pbc="T T T"
Cd -8.1000 -3.8660 -2.0797
Zn -10.6174 -4.8934 -2.8991
Zn -5.5827 -2.8385 -1.2602
Tl -2.7000 -1.2887 -0.6932
```

## Properties
calculated volume = 89.1 Å³/cell
Fermi-level density of states = 1.32 states/eV per cell
SG = C2/m (12)

---

It is run 3 that is the least stable of them.

---

Run 1
VASP calculation (PBE-GGA) on a relaxed TlZn2Cd crystal.

extended XYZ file:
```
4
Lattice="-8.1273 3.0511 -3.0423 -7.4209 0.7795 -5.3795 -8.8466 -0.1625 -2.5157" Properties=species:S:1:pos:R:3 pbc="T T T"
Cd -12.4557 1.8729 -5.5846
Tl -18.1754 2.7330 -8.1491
Zn -24.1132 3.6258 -10.8113
Zn -6.2425 0.9387 -2.7989
```

## Properties
calculated volume = 86.6 Å³/cell
Fermi-level density of states = 1.32 states/eV per cell
SG = R3m (160)

---

Run 2
VASP calculation (PBE-GGA) on a relaxed TlZn2Cd crystal.

extended XYZ file:
```
4
Lattice="-3.6242 3.0623 -2.5135 -2.9513 -3.1512 -3.1921 1.2552 -0.4322 5.2026" Properties=species:S:1:pos:R:3 pbc="T T T"
Tl -2.8283 1.2928 -0.0818
Zn 0.0000 0.0000 0.0000
Zn -3.2877 -0.0445 -2.8528
Cd -2.4919 -1.8140 -0.4211
```

## Properties
calculated volume = 86.0 Å³/cell
Fermi-level density of states = 1.79 states/eV per cell
SG = I4/mmm (139)

---

It is run 2 that is the least stable of them.

---

Run 1
VASP calculation (PBE-GGA) on a relaxed TlZn2Cd crystal.

extended XYZ file:
```
4
Lattice="-3.2830 0.4117 0.1694 -0.3306 -3.2339 -0.6394 0.2058 -1.5576 7.7720" Properties=species:S:1:pos:R:3 pbc="T T T"
Zn 0.0056 -0.0425 0.2122
Zn 0.0973 -0.7363 3.6738
Tl -1.6524 -2.5793 5.5940
Cd -1.7553 -1.8005 1.7080
```

## Properties
calculated volume = 87.0 Å³/cell
Fermi-level density of states = 1.50 states/eV per cell
SG = Cmmm (65)

---

Run 2
VASP calculation (PBE-GGA) on a relaxed TlZn2Cd crystal.

extended XYZ file:
```
4
Lattice="-3.3708 -0.5635 -4.9213 -0.5162 -5.4784 -2.3705 -0.9379 3.7424 4.5841" Properties=species:S:1:pos:R:3 pbc="T T T"
Cd -2.0371 -3.1665 -3.8216
Tl -1.6476 -2.2990 -0.6201
Zn -3.1912 -0.0223 -2.1138
Zn -3.7794 -5.8747 -7.0899
```

## Properties
calculated volume = 87.0 Å³/cell
Fermi-level density of states = 1.36 states/eV per cell
SG = Imm2 (44)

---

It is run 1 that is the least stable of them.

---

Run 1
VASP calculation (PBE-GGA) on a relaxed ZrTlCd2 crystal.

extended XYZ file:
```
4
Lattice="3.2256 0.0000 0.0000 0.0000 4.5964 0.0000 0.0000 0.0000 6.3422" Properties=species:S:1:pos:R:3 pbc="T T T"
Cd 0.0000 0.0000 3.2812
Cd 0.0000 0.0000 6.2322
Tl 1.6128 2.2982 1.5856
Zr 1.6128 2.2982 4.7567
```

## Properties
calculated volume = 94.0 Å³/cell
Fermi-level density of states = 2.43 states/eV per cell
SG = Pmmm (47)

---

Run 2
VASP calculation (PBE-GGA) on a relaxed ZrTlCd2 crystal.

extended XYZ file:
```
4
Lattice="-5.4150 -1.5293 -0.4150 3.6188 -4.3020 -0.4796 -0.1159 -0.4518 3.1775" Properties=species:S:1:pos:R:3 pbc="T T T"
Zr 1.7514 -2.3769 1.3489
Tl -2.7655 -0.9905 1.3812
Cd 0.0000 0.0000 0.0000
Cd -0.8981 -2.9157 -0.4473
```

## Properties
calculated volume = 93.6 Å³/cell
Fermi-level density of states = 3.70 states/eV per cell
SG = Cmmm (65)

---

Run 3
VASP calculation (PBE-GGA) on a relaxed ZrTlCd2 crystal.

extended XYZ file:
```
4
Lattice="-2.2480 -0.5130 2.1551 0.0111 -5.3011 -1.2503 3.7708 -4.2568 2.9201" Properties=species:S:1:pos:R:3 pbc="T T T"
Cd 0.0000 0.0000 0.0000
Cd -1.1185 -2.9071 0.4524
Zr 1.8854 -2.1284 1.4600
Tl 0.7670 -5.0354 1.9125
```

## Properties
calculated volume = 92.2 Å³/cell
Fermi-level density of states = 2.88 states/eV per cell
SG = P2/m (10)

---

Run 4
VASP calculation (PBE-GGA) on a relaxed ZrTlCd2 crystal.

extended XYZ file:
```
4
Lattice="-1.8485 -5.0941 1.5396 4.2016 -3.6407 0.9104 -1.0741 5.2370 1.7769" Properties=species:S:1:pos:R:3 pbc="T T T"
Tl 1.1768 -4.3684 1.2253
Cd -0.8725 -2.1143 2.2713
Cd 2.3527 -8.7335 2.4496
Zr 2.1516 -1.3839 1.9557
```

## Properties
calculated volume = 91.6 Å³/cell
Fermi-level density of states = 3.18 states/eV per cell
SG = I-4m2 (119)

---

It is run 4 that is the least stable of them.

---

Run 1
VASP calculation (PBE-GGA) on a relaxed ZrTlCd2 crystal.

extended XYZ file:
```
4
Lattice="5.7800 0.0294 0.0000 2.5065 5.2083 0.0000 -4.1432 -2.6189 3.0633" Properties=species:S:1:pos:R:3 pbc="T T T"
Cd 4.1432 2.6189 0.0000
Cd 0.0000 0.0000 0.0000
Zr 2.8900 0.0147 1.5317
Tl 1.2533 2.6041 1.5317
```

## Properties
calculated volume = 92.0 Å³/cell
Fermi-level density of states = 3.05 states/eV per cell
SG = I4/mmm (139)

---

Run 2
VASP calculation (PBE-GGA) on a relaxed ZrTlCd2 crystal.

extended XYZ file:
```
8
Lattice="-5.3161 -5.9993 -1.4217 4.4077 -5.0107 4.6625 -2.0509 -4.6624 4.0353" Properties=species:S:1:pos:R:3 pbc="T T T"
Cd -2.3107 -13.1559 5.8858
Cd 1.6045 -5.0168 3.7524
Cd -1.9011 -7.6002 4.2182
Cd -3.3112 -5.5719 0.6959
Tl 0.0000 0.0000 0.0000
Tl -3.9106 -8.0833 2.1170
Zr 0.9513 -7.5890 5.1591
Zr -0.4542 -5.5050 1.6204
```

## Properties
calculated volume = 199.8 Å³/cell
Fermi-level density of states = 9.85 states/eV per cell
SG = I-42d (122)

---

Run 3
VASP calculation (PBE-GGA) on a relaxed ZrTlCd2 crystal.

extended XYZ file:
```
4
Lattice="-8.8612 3.2047 4.9943 -7.5530 1.4879 7.3805 -6.6887 4.5564 6.9451" Properties=species:S:1:pos:R:3 pbc="T T T"
Cd -0.0187 0.0075 0.0156
Cd -5.8008 2.3223 4.8509
Tl -11.5424 4.6209 9.6524
Zr -17.2925 6.9228 14.4609
```

## Properties
calculated volume = 94.1 Å³/cell
Fermi-level density of states = 2.53 states/eV per cell
SG = R3m (160)

---

It is run 2 that is the least stable of them.

---

Run 1
VASP calculation (PBE-GGA) on a relaxed ZrTlCd2 crystal.

extended XYZ file:
```
4
Lattice="-0.2059 2.2789 -2.2012 -4.4112 -0.5937 -0.2019 -0.8171 4.4711 4.7055" Properties=species:S:1:pos:R:3 pbc="T T T"
Tl -0.4202 2.2992 2.4197
Zr -2.9215 4.1964 2.3281
Cd -2.4994 1.8867 -0.1027
Cd -0.0018 0.0096 0.0102
```

## Properties
calculated volume = 92.6 Å³/cell
Fermi-level density of states = 3.14 states/eV per cell
SG = Pmm2 (25)

---

Run 2
VASP calculation (PBE-GGA) on a relaxed ZrTlCd2 crystal.

extended XYZ file:
```
4
Lattice="-3.3392 -2.7917 0.6904 2.2614 -3.2026 -2.0125 1.8451 -1.2157 4.0079" Properties=species:S:1:pos:R:3 pbc="T T T"
Tl -0.7470 -2.0037 2.3492
Cd -0.5389 -2.9971 -0.6610
Cd 0.0000 0.0000 0.0000
Zr 2.0532 -2.2091 0.9977
```

## Properties
calculated volume = 88.9 Å³/cell
Fermi-level density of states = 1.72 states/eV per cell
SG = P4/mmm (123)

---

It is run 1 that is the least stable of them.

---

Run 1
VASP calculation (PBE-GGA) on a relaxed ZrTlCd2 crystal.

extended XYZ file:
```
4
Lattice="-0.3495 2.0242 -2.4941 0.2846 -3.1485 -0.6679 -10.1847 -1.0436 0.5802" Properties=species:S:1:pos:R:3 pbc="T T T"
Cd -2.5217 -0.8172 -1.4392
Cd -0.0117 -0.0012 0.0007
Tl -5.0931 -0.5219 0.2901
Zr -7.7155 -1.3494 -1.1433
```

## Properties
calculated volume = 95.0 Å³/cell
Fermi-level density of states = 2.10 states/eV per cell
SG = Cmm2 (35)

---

Run 2
VASP calculation (PBE-GGA) on a relaxed ZrTlCd2 crystal.

extended XYZ file:
```
4
Lattice="10.7445 0.0132 0.0077 10.2529 3.2130 0.0077 10.2529 1.5753 2.8003" Properties=species:S:1:pos:R:3 pbc="T T T"
Zr 23.4377 3.6011 2.1118
Tl 7.8126 1.2004 0.7039
Cd 0.0825 0.0127 0.0074
Cd 15.5426 2.3881 1.4004
```

## Properties
calculated volume = 96.0 Å³/cell
Fermi-level density of states = 2.61 states/eV per cell
SG = R-3m (166)

---

It is run 1 that is the least stable of them.

---

Run 1
VASP calculation (PBE-GGA) on a relaxed ZrTl2Cd crystal.

extended XYZ file:
```
4
Lattice="3.2828 0.0000 0.0000 0.0000 3.2828 0.0000 0.0000 0.0000 9.4888" Properties=species:S:1:pos:R:3 pbc="T T T"
Zr 0.0000 0.0000 4.8047
Cd 1.6414 1.6414 6.8578
Tl 1.6414 1.6414 2.6428
Tl 0.0000 0.0000 9.4167
```

## Properties
calculated volume = 102.3 Å³/cell
Fermi-level density of states = 3.01 states/eV per cell
SG = P4mm (99)

---

Run 2
VASP calculation (PBE-GGA) on a relaxed ZrTl2Cd crystal.

extended XYZ file:
```
4
Lattice="5.8029 0.0094 0.0000 2.4193 5.2745 0.0000 -4.1111 -2.6420 3.1293" Properties=species:S:1:pos:R:3 pbc="T T T"
Zr 1.2096 2.6373 1.5647
Cd 2.9014 0.0047 1.5647
Tl 4.1111 2.6420 0.0000
Tl 0.0000 0.0000 0.0000
```

## Properties
calculated volume = 95.7 Å³/cell
Fermi-level density of states = 3.94 states/eV per cell
SG = I4/mmm (139)

---

Run 3
VASP calculation (PBE-GGA) on a relaxed ZrTl2Cd crystal.

extended XYZ file:
```
4
Lattice="-3.3057 -0.2345 1.4148 -1.2545 -1.2494 -3.1384 1.4340 -6.9587 2.1971" Properties=species:S:1:pos:R:3 pbc="T T T"
Tl 0.3546 -1.7209 0.5434
Tl 1.0794 -5.2378 1.6537
Cd -2.2801 -0.7420 -0.8618
Zr -1.5631 -4.2213 0.2367
```

## Properties
calculated volume = 96.6 Å³/cell
Fermi-level density of states = 2.58 states/eV per cell
SG = P4/mmm (123)

---

It is run 3 that is the least stable of them.

---

Run 1
VASP calculation (PBE-GGA) on a relaxed ZrTl2Cd crystal.

extended XYZ file:
```
4
Lattice="-0.5231 3.1446 1.0698 -3.7310 -1.2965 1.9865 3.3581 -1.2986 5.4593" Properties=species:S:1:pos:R:3 pbc="T T T"
Tl 0.0254 -0.0098 0.0413
Tl 1.6537 -0.6395 2.6884
Zr -1.2875 0.5994 2.8930
Cd 0.3915 -0.0499 5.6227
```

## Properties
calculated volume = 97.2 Å³/cell
Fermi-level density of states = 3.05 states/eV per cell
SG = Pmmm (47)

---

Run 2
VASP calculation (PBE-GGA) on a relaxed ZrTl2Cd crystal.

extended XYZ file:
```
4
Lattice="-2.8673 -0.8793 1.6163 2.2027 0.0636 3.9422 -1.4815 6.1695 0.7282" Properties=species:S:1:pos:R:3 pbc="T T T"
Cd -1.4310 4.1678 3.3193
Tl -1.4635 6.0949 0.7194
Tl -0.7372 1.2786 2.9783
Zr -0.7364 3.0669 0.3620
```

## Properties
calculated volume = 98.3 Å³/cell
Fermi-level density of states = 2.64 states/eV per cell
SG = Pmm2 (25)

---

Run 3
VASP calculation (PBE-GGA) on a relaxed ZrTl2Cd crystal.

extended XYZ file:
```
4
Lattice="6.1221 -0.0599 -0.0708 5.2463 3.1560 -0.0708 2.1809 0.5939 4.9393" Properties=species:S:1:pos:R:3 pbc="T T T"
Zr 7.0162 1.9108 2.8394
Tl 11.5089 3.1344 0.2344
Tl 10.0645 2.7410 3.1431
Cd 3.1028 0.8450 0.8383
```

## Properties
calculated volume = 97.5 Å³/cell
Fermi-level density of states = 3.99 states/eV per cell
SG = Cm (8)

---

It is run 1 that is the least stable of them.

---

Run 1
VASP calculation (PBE-GGA) on a relaxed Zr6TlCd crystal.

extended XYZ file:
```
8
Lattice="-3.8869 2.2161 0.1179 -2.0596 -3.6907 1.4728 1.6516 2.4477 8.4438" Properties=species:S:1:pos:R:3 pbc="T T T"
Cd 0.8258 1.2239 4.2219
Zr -0.6141 -1.2293 2.8615
Zr -2.1474 0.4866 5.0172
Zr -2.9732 -0.7373 0.7953
Zr -0.7075 2.9398 6.3776
Zr 0.2061 -0.0137 7.0551
Zr -1.5278 1.7241 2.1840
Tl 0.0000 0.0000 0.0000
```

## Properties
calculated volume = 179.2 Å³/cell
Fermi-level density of states = 6.20 states/eV per cell
SG = P4/mmm (123)

---

Run 2
VASP calculation (PBE-GGA) on a relaxed Zr6TlCd crystal.

extended XYZ file:
```
8
Lattice="-3.2872 1.4147 7.1347 -7.9011 0.9312 0.6377 -4.0665 -2.4245 3.0684" Properties=species:S:1:pos:R:3 pbc="T T T"
Cd 0.0000 0.0000 0.0000
Zr -1.8398 -0.2572 2.5463
Zr -4.6303 0.3290 4.4966
Zr -6.9939 -1.3484 2.6194
Zr -13.4150 0.1787 8.2946
Zr -8.2609 1.2699 8.2215
Zr -10.6245 -0.4076 6.3443
Tl -7.6274 -0.0393 5.4205
```

## Properties
calculated volume = 179.8 Å³/cell
Fermi-level density of states = 4.05 states/eV per cell
SG = Pm-3 (200)

---

It is run 1 that is the least stable of them.

---

Run 1
VASP calculation (PBE-GGA) on a relaxed Zr2TlCd2 crystal.

extended XYZ file:
```
10
Lattice="-5.1163 1.0375 -6.8437 -6.2602 -4.3245 4.0245 -1.1283 2.8156 1.2704" Properties=species:S:1:pos:R:3 pbc="T T T"
Cd -3.3196 1.0019 -0.9126
Cd -9.1853 -1.4734 -0.6362
Cd -5.6560 -1.3213 2.1613
Cd -6.8488 0.8498 -3.7101
Tl 0.0000 0.0000 0.0000
Tl -5.6882 -1.6435 -1.4096
Zr -7.4125 -3.3996 0.9511
Zr -3.9640 0.1125 -3.7702
Zr -8.3877 -1.7874 -3.4884
Zr -2.9887 -1.4997 0.6693
```

## Properties
calculated volume = 243.6 Å³/cell
Fermi-level density of states = 8.51 states/eV per cell
SG = P4/mbm (127)

---

Run 2
VASP calculation (PBE-GGA) on a relaxed Zr2TlCd2 crystal.

extended XYZ file:
```
5
Lattice="2.7072 -1.4413 1.1802 0.6614 6.2753 1.5738 1.9087 2.5773 7.9215" Properties=species:S:1:pos:R:3 pbc="T T T"
Tl 0.3307 3.1376 0.7869
Cd 3.5092 5.5319 5.5684
Cd 1.7681 1.8793 5.1071
Zr 3.3307 3.0227 7.4900
Zr 1.9467 4.3886 3.1855
```

## Properties
calculated volume = 114.7 Å³/cell
Fermi-level density of states = 2.73 states/eV per cell
SG = C2/m (12)

---

It is run 1 that is the least stable of them.